w | Computed, not measured: crystalline MgTl3P at its relaxed geometry at the PBE level of DFT.

Cell lengths 5.4189, 5.4189, 5.4189 Å; angles 90.00, 90.00, 90.00 degrees
Closest atoms and distances in Å follow each position.
Positions (direct):
Tl 0.5000 0.0000 0.0000  2 P 2.71
Tl 0.0000 0.5000 0.0000  2 P 2.71
Tl 0.0000 0.0000 0.5000  2 P 2.71
Mg 0.5000 0.5000 0.5000  12 Tl 3.83
P 0.0000 0.0000 0.0000  6 Tl 2.71

Output
The space-group type is No. 221. The value obtained for the mass density is 6.98 Mg/m³. The density of states at the Fermi level is 0.5419 states/eV per atom. For the spin magnetization, the calculation gives 0.000 μB/atom.

---

x | Computed, not measured: crystalline MgTl3P at its relaxed geometry at the PBE level of DFT.

Cell lengths 5.4507, 5.4507, 5.4507 Å; angles 90.00, 90.00, 90.00 degrees
Closest atoms and distances in Å follow each position.
Positions (direct):
Tl 0.0000 0.5000 0.0000  2 Mg 2.73
Tl 0.0000 0.0000 0.5000  2 Mg 2.73
Tl 0.5000 0.0000 0.0000  2 Mg 2.73
P 0.5000 0.5000 0.5000  12 Tl 3.85
Mg 0.0000 0.0000 0.0000  6 Tl 2.73

Output
The space-group type is No. 221. The value obtained for the mass density is 6.85 Mg/m³. The density of states at the Fermi level is 0.3652 states/eV per atom. For the spin magnetization, the calculation gives 0.001 μB/atom.

---

Quick one: least stable of them? x

---

w | Computed, not measured: crystalline Mg2TlP2 at its relaxed geometry at the PBE level of DFT.

Cell lengths 4.6985, 4.6985, 5.7882 Å; angles 66.05, 66.05, 90.00 degrees
Closest atoms and distances in Å follow each position.
Positions (direct):
Mg 0.7500 0.2500 0.5000  4 P 2.66
Mg 0.2500 0.7500 0.5000  4 P 2.66
Tl 0.0000 0.0000 0.0000  8 Mg 3.34, 10 P 3.51-3.61
P 0.3805 0.3805 0.2390  1 P 2.27
P 0.6195 0.6195 0.7610  1 P 2.27

Output
The space-group type is No. 139. The value obtained for the mass density is 5.00 Mg/m³. The density of states at the Fermi level is 0.4161 states/eV per atom. For the spin magnetization, the calculation gives 0.000 μB/atom.

---

x | Computed, not measured: crystalline Mg2TlP2 at its relaxed geometry at the PBE level of DFT.

Cell lengths 8.0395, 8.0395, 3.0774 Å; angles 90.00, 90.00, 90.00 degrees
Closest atoms and distances in Å follow each position.
Positions (direct):
P 0.3449 0.8449 0.0000  6 Mg 2.80-2.83, 2 Tl 3.04, 2 P 3.08
P 0.6551 0.1551 0.0000  6 Mg 2.80-2.83, 2 Tl 3.04, 2 P 3.08
P 0.1551 0.3449 0.0000  6 Mg 2.80-2.83, 2 Tl 3.04, 2 P 3.08
P 0.8449 0.6551 0.0000  6 Mg 2.80-2.83, 2 Tl 3.04, 2 P 3.08
Tl 0.5000 0.5000 0.0000  4 P 3.04, 2 Tl 3.08
Tl 0.0000 0.0000 0.0000  4 P 3.04, 2 Tl 3.08
Mg 0.1392 0.6392 0.5000  6 P 2.80-2.83, 2 Mg 3.08
Mg 0.8608 0.3608 0.5000  6 P 2.80-2.83, 2 Mg 3.08
Mg 0.3608 0.1392 0.5000  6 P 2.80-2.83, 2 Mg 3.08
Mg 0.6392 0.8608 0.5000  6 P 2.80-2.83, 2 Mg 3.08

Output
The space-group type is No. 127. The value obtained for the mass density is 5.26 Mg/m³. The density of states at the Fermi level is 0.2460 states/eV per atom. For the spin magnetization, the calculation gives 0.000 μB/atom.

---

Quick one: least stable of them? x

---

w | Computed, not measured: crystalline MgVP3 at its relaxed geometry at the PBE level of DFT.

Cell lengths 4.5595, 4.5595, 4.5595 Å; angles 90.00, 90.00, 90.00 degrees
Closest atoms and distances in Å follow each position.
Positions (direct):
Mg 0.5000 0.5000 0.5000  12 P 3.22
P 0.0000 0.0000 0.5000  2 V 2.28
P 0.5000 0.0000 0.0000  2 V 2.28
P 0.0000 0.5000 0.0000  2 V 2.28
V 0.0000 0.0000 0.0000  6 P 2.28

Output
The space-group type is No. 221. The value obtained for the mass density is 2.95 Mg/m³. The density of states at the Fermi level is 0.3951 states/eV per atom. For the spin magnetization, the calculation gives 0.000 μB/atom.

---

x | Computed, not measured: crystalline MgVP3 at its relaxed geometry at the PBE level of DFT.

Cell lengths 4.6995, 4.6995, 4.6995 Å; angles 90.00, 90.00, 90.00 degrees
Closest atoms and distances in Å follow each position.
Positions (direct):
P 0.5000 0.0000 0.0000  2 Mg 2.35
P 0.0000 0.0000 0.5000  2 Mg 2.35
P 0.0000 0.5000 0.0000  2 Mg 2.35
V 0.5000 0.5000 0.5000  12 P 3.32
Mg 0.0000 0.0000 0.0000  6 P 2.35

Output
The space-group type is No. 221. The value obtained for the mass density is 2.69 Mg/m³. The density of states at the Fermi level is 1.4332 states/eV per atom. For the spin magnetization, the calculation gives 0.562 μB/atom.

---

Quick one: least stable of them? x

---

w | Computed, not measured: crystalline MgV3P at its relaxed geometry at the PBE level of DFT.

Cell lengths 4.4169, 4.4169, 4.4169 Å; angles 90.00, 90.00, 90.00 degrees
Closest atoms and distances in Å follow each position.
Positions (direct):
V 0.0000 0.5000 0.0000  2 P 2.21
V 0.5000 0.0000 0.0000  2 P 2.21
V 0.0000 0.0000 0.5000  2 P 2.21
Mg 0.5000 0.5000 0.5000  12 V 3.12
P 0.0000 0.0000 0.0000  6 V 2.21

Output
The space-group type is No. 221. The value obtained for the mass density is 4.01 Mg/m³. The density of states at the Fermi level is 1.4833 states/eV per atom. For the spin magnetization, the calculation gives 0.689 μB/atom.

---

x | Computed, not measured: crystalline MgV3P at its relaxed geometry at the PBE level of DFT.

Cell lengths 4.5726, 4.5726, 4.5726 Å; angles 90.00, 90.00, 90.00 degrees
Closest atoms and distances in Å follow each position.
Positions (direct):
V 0.0000 0.0000 0.5000  2 Mg 2.29
V 0.5000 0.0000 0.0000  2 Mg 2.29
V 0.0000 0.5000 0.0000  2 Mg 2.29
P 0.5000 0.5000 0.5000  12 V 3.23
Mg 0.0000 0.0000 0.0000  6 V 2.29

Output
The space-group type is No. 221. The value obtained for the mass density is 3.61 Mg/m³. The density of states at the Fermi level is 1.3242 states/eV per atom. For the spin magnetization, the calculation gives 1.137 μB/atom.

---

Quick one: least stable of them? x